[1]
SrNd2Zn: relaxed, PBE.

The structure belongs to space group R-3m (No. 166, hexagonal axes); the cell edges are 3.7729, 3.7729 and 35.2587 Å and the angles 90.00°, 90.00° and 120.00°. The distinct sites, in fractional coordinates, are Sr at (0.0000, 0.0000, 0.0000), Nd at (0.0000, 0.0000, 0.1058) and Zn at (0.0000, 0.0000, 0.5000).

The magnetization is 0.0 μB per formula unit. The relative energy among the computed polymorphs comes out at 210.1 meV per atom. As for the energy of formation: 140 meV per atom.

[2]
SrNdZn: relaxed, PBE.

The structure belongs to space group I4mm (No. 107); the cell edges are 3.792, 3.792 and 13.648 Å and the angles 90.00°, 90.00° and 90.00°. The distinct sites, in fractional coordinates, are Sr at (0.000, 0.000, 0.000), Nd at (0.000, 0.000, 0.271) and Zn at (0.000, 0.000, 0.654).

The magnetization is 0.0 μB per formula unit. The relative energy among the computed polymorphs comes out at 0.0 meV per atom. As for the energy of formation: -130 meV per atom.

[3]
SrNd2Zn2: relaxed, PBE.

The structure belongs to space group Cmmm (No. 65); the cell edges are 3.791, 21.079 and 3.723 Å and the angles 90.00°, 90.00° and 90.00°. The distinct sites, in fractional coordinates, are Sr at (0.000, 0.000, 0.000), Nd at (0.000, 0.176, 0.000) and Zn at (0.000, 0.400, 0.500).

The magnetization is 0.0 μB per formula unit. As for the energy of formation: -114 meV per atom.